Cu2POs: relaxed, GGA-PBE.

Cell: 3.479 3.479 8.477 Å, 90.00 90.00 90.00°
Space group I4/mmm (No. 139)
Unique sites:
1 Cu 0.000 0.500 0.250 [4 per cell]
2 P 0.000 0.000 0.000 [2 per cell]
3 Os 0.000 0.000 0.500 [2 per cell]

ΔE_f = 338 meV/atom